Compound: BaAcIrCl
Source: Alexandria
Functional: PBE
Structure: relaxed Values from VASP.

## Properties
Electronic total energy (eV/atom): -5.298

Structure (Quantum ESPRESSO input):
```
&SYSTEM
  ibrav = 0, nat = 4, ntyp = 4
/
ATOMIC_SPECIES
Ba 137.33 Ba.upf
Ac 227.00 Ac.upf
Cl 35.45 Cl.upf
Ir 192.22 Ir.upf
CELL_PARAMETERS angstrom
-4.040 1.625 0.141
0.616 -4.242 -0.779
2.156 -1.189 8.184
ATOMIC_POSITIONS angstrom
Ba -0.496 -0.589 5.308
Ac 0.313 -3.947 -0.136
Cl -2.885 -0.465 2.733
Ir 0.977 -2.905 6.898
```

***

Compound: Ba2AcN2Cl2
Source: Alexandria
Functional: PBE
Structure: relaxed Values from VASP.

## Properties
Electronic total energy (eV/atom): -5.459

Structure (Quantum ESPRESSO input):
```
&SYSTEM
  ibrav = 0, nat = 7, ntyp = 4
/
ATOMIC_SPECIES
N 14.01 N.upf
Cl 35.45 Cl.upf
Ac 227.00 Ac.upf
Ba 137.33 Ba.upf
CELL_PARAMETERS angstrom
4.834 0.000 0.000
0.000 4.834 0.000
-2.417 -2.417 8.105
ATOMIC_POSITIONS angstrom
N 2.417 0.000 0.000
Cl 0.000 0.000 3.032
Ac 0.000 0.000 0.000
N 0.000 2.417 0.000
Cl 2.417 2.417 5.072
Ba 0.000 0.000 6.277
Ba 2.417 2.417 1.828
```

***

Compound: BaNaAcCl6
Source: Alexandria
Functional: PBE
Structure: relaxed Values from VASP.

## Properties
Electronic total energy (eV/atom): -4.348

Structure (Quantum ESPRESSO input):
```
&SYSTEM
  ibrav = 0, nat = 18, ntyp = 4
/
ATOMIC_SPECIES
Ac 227.00 Ac.upf
Cl 35.45 Cl.upf
Na 22.99 Na.upf
Ba 137.33 Ba.upf
CELL_PARAMETERS angstrom
-0.716 -7.297 -0.963
2.925 2.634 6.260
-12.153 0.470 5.481
ATOMIC_POSITIONS angstrom
Ac -8.617 -3.635 5.555
Cl -4.928 -4.587 1.405
Na -2.541 -3.869 2.815
Ba -6.076 0.235 2.740
Ba 0.000 0.000 0.000
Cl -9.771 -1.201 6.612
Cl -8.095 -1.712 10.371
Cl -3.281 -5.389 5.126
Ac -1.327 -0.559 5.223
Cl -1.308 -6.300 1.935
Cl -6.663 1.196 5.652
Cl -6.239 -2.727 6.929
Cl -3.705 -1.466 3.849
Cl -5.016 0.393 9.373
Na -7.403 -0.324 7.963
Cl -0.173 -2.993 4.167
Cl -1.849 -2.482 0.407
Cl -8.636 2.106 8.843
```

***

Compound: BaAcClO2
Source: Alexandria
Functional: PBE
Structure: relaxed Values from VASP.

## Properties
Electronic total energy (eV/atom): -6.447

Structure (Quantum ESPRESSO input):
```
&SYSTEM
  ibrav = 0, nat = 5, ntyp = 4
/
ATOMIC_SPECIES
Ba 137.33 Ba.upf
O 16.00 O.upf
Cl 35.45 Cl.upf
Ac 227.00 Ac.upf
CELL_PARAMETERS angstrom
-2.753 -1.704 -2.796
-2.479 -1.302 3.235
-0.837 7.475 -0.460
ATOMIC_POSITIONS angstrom
Ba -5.015 2.647 0.052
O -2.912 2.243 1.500
O -3.049 2.042 -1.515
Cl -2.641 -1.459 0.218
Ac -1.134 1.962 -0.079
```

***

Compound: BaAcPCl
Source: Alexandria
Functional: PBE
Structure: relaxed Values from VASP.

## Properties
Energy above the most stable polymorph in this dataset (meV per atom): 0
Electronic total energy (eV/atom): -4.891

Structure (Quantum ESPRESSO input):
```
&SYSTEM
  ibrav = 0, nat = 4, ntyp = 4
/
ATOMIC_SPECIES
Ba 137.33 Ba.upf
P 30.97 P.upf
Ac 227.00 Ac.upf
Cl 35.45 Cl.upf
CELL_PARAMETERS angstrom
-4.024 -0.476 1.762
2.135 -3.515 -1.615
5.230 0.209 6.462
ATOMIC_POSITIONS angstrom
Ba 1.741 -0.607 4.859
P 4.553 -1.919 5.388
Ac 2.018 -3.393 -0.803
Cl -1.232 -1.704 3.312
```

***

Compound: Ba2AcP2Cl2
Source: Alexandria
Functional: PBE
Structure: relaxed Values from VASP.

## Properties
Electronic total energy (eV/atom): -4.733

Structure (Quantum ESPRESSO input):
```
&SYSTEM
  ibrav = 0, nat = 7, ntyp = 4
/
ATOMIC_SPECIES
Cl 35.45 Cl.upf
Ba 137.33 Ba.upf
Ac 227.00 Ac.upf
P 30.97 P.upf
CELL_PARAMETERS angstrom
5.732 0.000 0.000
0.000 5.732 0.000
-2.866 -2.866 7.994
ATOMIC_POSITIONS angstrom
Cl 2.866 2.866 4.971
Cl 0.000 0.000 3.022
Ba 0.000 0.000 6.073
Ac 0.000 0.000 0.000
P 2.866 0.000 0.000
Ba 2.866 2.866 1.920
P 0.000 2.866 0.000
```

***

Compound: BaAcPCl
Source: Alexandria
Functional: PBE
Structure: relaxed Values from VASP.

## Properties
Energy above the most stable polymorph in this dataset (meV per atom): 207
Electronic total energy (eV/atom): -4.684

Structure (Quantum ESPRESSO input):
```
&SYSTEM
  ibrav = 0, nat = 4, ntyp = 4
/
ATOMIC_SPECIES
Ac 227.00 Ac.upf
Cl 35.45 Cl.upf
P 30.97 P.upf
Ba 137.33 Ba.upf
CELL_PARAMETERS angstrom
5.402 0.000 0.000
2.701 4.678 0.000
2.701 1.559 4.411
ATOMIC_POSITIONS angstrom
Ac 5.402 3.119 2.205
Cl 2.701 1.559 1.103
P 8.103 4.678 3.308
Ba 0.000 0.000 0.000
```

***

Compound: BaAcPbCl
Source: Alexandria
Functional: PBE
Structure: relaxed Values from VASP.

## Properties
Electronic total energy (eV/atom): -3.914

Structure (Quantum ESPRESSO input):
```
&SYSTEM
  ibrav = 0, nat = 4, ntyp = 4
/
ATOMIC_SPECIES
Ba 137.33 Ba.upf
Pb 207.20 Pb.upf
Cl 35.45 Cl.upf
Ac 227.00 Ac.upf
CELL_PARAMETERS angstrom
-4.451 -0.208 -3.779
-0.226 -4.236 -4.018
-4.007 -4.230 0.436
ATOMIC_POSITIONS angstrom
Ba 0.000 0.000 0.000
Pb -2.171 -2.168 -1.840
Cl -6.513 -6.505 -5.521
Ac -4.342 -4.337 -3.680
```

***

Compound: BaAcPtCl
Source: Alexandria
Functional: PBE
Structure: relaxed Values from VASP.

## Properties
Electronic total energy (eV/atom): -4.885

Structure (Quantum ESPRESSO input):
```
&SYSTEM
  ibrav = 0, nat = 4, ntyp = 4
/
ATOMIC_SPECIES
Ba 137.33 Ba.upf
Ac 227.00 Ac.upf
Cl 35.45 Cl.upf
Pt 195.08 Pt.upf
CELL_PARAMETERS angstrom
-0.708 4.217 1.123
0.223 -3.114 3.131
8.546 -0.568 -1.175
ATOMIC_POSITIONS angstrom
Ba 5.272 1.260 0.240
Ac 0.771 -2.553 3.012
Cl 2.415 2.669 1.847
Pt 7.499 -0.900 1.054
```

***

Compound: BaAcRhCl
Source: Alexandria
Functional: PBE
Structure: relaxed Values from VASP.

## Properties
Electronic total energy (eV/atom): -4.942

Structure (Quantum ESPRESSO input):
```
&SYSTEM
  ibrav = 0, nat = 4, ntyp = 4
/
ATOMIC_SPECIES
Rh 102.91 Rh.upf
Cl 35.45 Cl.upf
Ac 227.00 Ac.upf
Ba 137.33 Ba.upf
CELL_PARAMETERS angstrom
4.324 0.000 0.000
-2.161 3.745 0.000
-2.162 -1.247 8.229
ATOMIC_POSITIONS angstrom
Rh -1.753 0.975 7.346
Cl 2.571 0.976 2.929
Ac -1.753 3.471 0.589
Ba 0.408 -0.274 5.344
```

***

Compound: BaAcS2Cl
Source: Alexandria
Functional: PBE
Structure: relaxed Values from VASP.

## Properties
Electronic total energy (eV/atom): -5.317

Structure (Quantum ESPRESSO input):
```
&SYSTEM
  ibrav = 0, nat = 5, ntyp = 4
/
ATOMIC_SPECIES
S 32.06 S.upf
Cl 35.45 Cl.upf
Ac 227.00 Ac.upf
Ba 137.33 Ba.upf
CELL_PARAMETERS angstrom
5.677 0.000 0.000
0.000 5.678 0.000
0.000 0.000 6.096
ATOMIC_POSITIONS angstrom
S 2.839 5.678 5.549
Cl 0.000 5.678 2.939
Ac 0.000 0.000 0.042
S 0.000 2.839 5.550
Ba 2.839 2.839 4.206
```

***

Compound: BaAcSnCl
Source: Alexandria
Functional: PBE
Structure: relaxed Values from VASP.

## Properties
Electronic total energy (eV/atom): -4.068

Structure (Quantum ESPRESSO input):
```
&SYSTEM
  ibrav = 0, nat = 4, ntyp = 4
/
ATOMIC_SPECIES
Ac 227.00 Ac.upf
Ba 137.33 Ba.upf
Sn 118.71 Sn.upf
Cl 35.45 Cl.upf
CELL_PARAMETERS angstrom
-4.650 -2.516 2.384
-4.125 -2.269 -3.387
-0.660 -5.754 -0.306
ATOMIC_POSITIONS angstrom
Ac 0.000 0.000 0.000
Ba -4.717 -5.270 -0.655
Sn -2.359 -2.635 -0.327
Cl -7.076 -7.905 -0.982
```

***

Compound: BaAc8Co2
Source: Alexandria
Functional: PBE
Structure: relaxed Values from VASP.

## Properties
ΔE_f (meV/atom): 66
Electronic total energy (eV/atom): -4.388

Structure (Quantum ESPRESSO input):
```
&SYSTEM
  ibrav = 0, nat = 11, ntyp = 3
/
ATOMIC_SPECIES
Ac 227.00 Ac.upf
Co 58.93 Co.upf
Ba 137.33 Ba.upf
CELL_PARAMETERS angstrom
-6.636 1.244 -0.534
-1.313 -4.362 6.146
0.662 9.221 1.924
ATOMIC_POSITIONS angstrom
Ac -5.559 6.887 3.701
Co -2.937 1.476 5.181
Ac -2.341 6.619 1.801
Ac -0.585 3.134 2.099
Ac -3.002 4.423 4.895
Ac -6.702 2.969 5.437
Ba 0.000 0.000 0.000
Co -4.350 4.627 2.355
Ac -4.285 1.679 2.641
Ac -4.946 -0.517 5.735
Ac -1.728 -0.785 3.835
```

***

Compound: Ba2Ac8Co3
Source: Alexandria
Functional: PBE
Structure: relaxed Values from VASP.

## Properties
ΔE_f (meV/atom): 75
Electronic total energy (eV/atom): -4.388

Structure (Quantum ESPRESSO input):
```
&SYSTEM
  ibrav = 0, nat = 13, ntyp = 3
/
ATOMIC_SPECIES
Ba 137.33 Ba.upf
Ac 227.00 Ac.upf
Co 58.93 Co.upf
CELL_PARAMETERS angstrom
-3.466 -1.566 6.093
-5.478 -4.513 -4.276
9.972 -5.522 1.084
ATOMIC_POSITIONS angstrom
Ba 2.465 -4.489 1.581
Ba -1.437 -7.113 1.320
Ac 2.636 -8.730 1.768
Ac -1.953 -2.598 5.245
Ac -4.385 -5.160 -1.035
Ac 5.750 -6.623 -0.375
Co -4.059 -3.345 -3.169
Ac 5.413 -6.441 3.935
Co -1.418 -1.169 -1.107
Ac -4.722 -4.979 3.276
Co -1.733 -0.783 3.046
Ac 2.981 -9.003 -2.344
Ac -1.608 -2.872 1.133
```

***

Compound: BaAc6Co3
Source: Alexandria
Functional: PBE
Structure: relaxed Values from VASP.

## Properties
ΔE_f (meV/atom): 16
Electronic total energy (eV/atom): -4.773

Structure (Quantum ESPRESSO input):
```
&SYSTEM
  ibrav = 0, nat = 20, ntyp = 3
/
ATOMIC_SPECIES
Ac 227.00 Ac.upf
Ba 137.33 Ba.upf
Co 58.93 Co.upf
CELL_PARAMETERS angstrom
4.196 0.000 0.000
0.000 12.783 -3.284
0.000 0.491 13.416
ATOMIC_POSITIONS angstrom
Ac 3.147 11.930 -1.877
Ac 1.049 8.300 10.856
Ac 3.147 8.581 1.057
Ac 3.147 7.025 6.780
Ba 1.049 12.532 1.623
Ac 1.049 6.248 3.352
Co 3.147 8.170 4.014
Co 3.147 6.558 9.770
Ba 3.147 0.742 8.509
Co 1.049 11.346 9.924
Ac 3.147 4.973 -0.724
Co 1.049 5.103 6.118
Ac 3.147 10.607 8.240
Co 1.049 6.716 0.362
Co 3.147 1.927 0.208
Ac 1.049 4.693 9.075
Ac 1.049 9.867 4.588
Ac 1.049 1.343 12.009
Ac 3.147 3.406 5.544
Ac 1.049 2.666 1.892
```

***

Compound: BaAc4Co2
Source: Alexandria
Functional: PBE
Structure: relaxed Values from VASP.

## Properties
ΔE_f (meV/atom): 63
Electronic total energy (eV/atom): -4.589

Structure (Quantum ESPRESSO input):
```
&SYSTEM
  ibrav = 0, nat = 7, ntyp = 3
/
ATOMIC_SPECIES
Ac 227.00 Ac.upf
Co 58.93 Co.upf
Ba 137.33 Ba.upf
CELL_PARAMETERS angstrom
-3.187 2.846 0.225
-3.246 -3.197 -5.550
-2.245 -6.371 8.115
ATOMIC_POSITIONS angstrom
Ac -5.677 -6.362 0.065
Co -5.977 -3.480 0.044
Ac -5.581 -3.258 2.849
Ac -3.097 -3.464 -0.060
Co -2.701 -3.242 2.745
Ba -3.217 -0.175 -2.663
Ac -3.001 -0.360 2.724
```

***

Compound: BaAc2Co
Source: Alexandria
Functional: PBE
Structure: relaxed Values from VASP.

## Properties
Energy above the most stable polymorph in this dataset (meV per atom): 0
ΔE_f (meV/atom): -26
Electronic total energy (eV/atom): -4.338

Structure (Quantum ESPRESSO input):
```
&SYSTEM
  ibrav = 0, nat = 4, ntyp = 3
/
ATOMIC_SPECIES
Ac 227.00 Ac.upf
Ba 137.33 Ba.upf
Co 58.93 Co.upf
CELL_PARAMETERS angstrom
4.270 0.000 0.000
2.135 3.698 0.000
2.135 1.233 10.357
ATOMIC_POSITIONS angstrom
Ac 2.135 1.233 8.841
Ac 2.135 1.233 1.536
Ba 4.270 2.465 5.131
Co 4.270 2.465 0.027
```

***

Compound: Ba2Ac4Co
Source: Alexandria
Functional: PBE
Structure: relaxed Values from VASP.

## Properties
ΔE_f (meV/atom): 136
Electronic total energy (eV/atom): -3.776

Structure (Quantum ESPRESSO input):
```
&SYSTEM
  ibrav = 0, nat = 7, ntyp = 3
/
ATOMIC_SPECIES
Ac 227.00 Ac.upf
Ba 137.33 Ba.upf
Co 58.93 Co.upf
CELL_PARAMETERS angstrom
5.754 0.000 0.000
0.000 5.754 0.000
-2.877 -2.877 10.379
ATOMIC_POSITIONS angstrom
Ac 2.877 2.877 7.604
Ba 2.877 2.877 3.480
Ac 0.000 2.877 0.000
Ba 0.000 0.000 6.899
Ac 2.877 0.000 0.000
Ac 0.000 0.000 2.775
Co 0.000 0.000 0.000
```

***

Compound: BaAc2Co
Source: Alexandria
Functional: PBE
Structure: relaxed Values from VASP.

## Properties
Energy above the most stable polymorph in this dataset (meV per atom): 94
ΔE_f (meV/atom): 68
Electronic total energy (eV/atom): -4.243

Structure (Quantum ESPRESSO input):
```
&SYSTEM
  ibrav = 0, nat = 4, ntyp = 3
/
ATOMIC_SPECIES
Ba 137.33 Ba.upf
Ac 227.00 Ac.upf
Co 58.93 Co.upf
CELL_PARAMETERS angstrom
-0.569 -2.795 -3.057
2.529 -0.001 -3.329
7.597 -8.119 3.150
ATOMIC_POSITIONS angstrom
Ba 0.000 0.000 0.000
Ac 4.467 -5.392 -4.479
Co 4.778 -5.458 -1.618
Ac 5.089 -5.523 1.243
```

***

Compound: BaAc8Co4
Source: Alexandria
Functional: PBE
Structure: relaxed Values from VASP.

## Properties
ΔE_f (meV/atom): -37
Electronic total energy (eV/atom): -4.900

Structure (Quantum ESPRESSO input):
```
&SYSTEM
  ibrav = 0, nat = 13, ntyp = 3
/
ATOMIC_SPECIES
Co 58.93 Co.upf
Ac 227.00 Ac.upf
Ba 137.33 Ba.upf
CELL_PARAMETERS angstrom
4.220 0.000 0.882
2.110 10.449 0.441
-0.027 0.000 10.669
ATOMIC_POSITIONS angstrom
Co 4.571 4.995 9.742
Co 1.732 5.454 2.250
Ac 0.783 3.080 6.791
Co 3.105 8.601 6.221
Ac 2.173 3.626 10.678
Ac 2.713 6.487 8.095
Ac 4.130 6.823 1.314
Ac 1.368 0.442 3.990
Ac 5.520 7.369 5.201
Ac 4.935 10.007 8.002
Co 3.199 1.848 5.772
Ba 0.000 0.000 0.000
Ac 3.590 3.962 3.897
```